(1)
# Zn3CdO

Crystalline Zn3CdO at its relaxed geometry (GGA-PBE, the Alexandria database).

Output
excess energy over the best structure of this formula in the dataset = 0.909 eV/atom

The structure in POSCAR format:
```
Zn3CdO
1.0
-2.0371 -0.3145 4.5502
-0.0292 -4.9824 -0.3574
4.5610 -0.1724 2.0300
Zn Cd O
3 1 1
direct
0.0000 0.0000 0.5000
0.0000 0.5000 0.0000
0.5000 0.0000 0.0000
0.0000 0.0000 0.0000
0.5000 0.5000 0.5000
```


(2)
# Zn2CdO3

Crystalline Zn2CdO3 at its relaxed geometry (GGA-PBE, the Alexandria database).

Output
excess energy over the best structure of this formula in the dataset = 0.120 eV/atom

The structure in POSCAR format:
```
Zn2CdO3
1.0
-0.6132 0.1599 4.5431
-2.2479 -5.8559 -0.0973
5.2683 -0.3157 -1.5935
Zn O Cd
4 6 2
direct
0.3313 0.4156 0.6623
0.3311 0.9156 0.6623
0.6687 0.5844 0.3377
0.6689 0.0844 0.3377
0.5002 0.7500 0.0000
0.1847 0.5923 0.3692
0.1845 0.0923 0.3692
0.8153 0.4077 0.6308
0.8155 0.9077 0.6308
0.4998 0.2500 0.0000
0.9998 0.2500 0.0000
0.0002 0.7500 0.0000
```


(3)
# ZnCd2O

Crystalline ZnCd2O at its relaxed geometry (GGA-PBE, the Alexandria database).

Output
excess energy over the best structure of this formula in the dataset = 0.000 eV/atom

The structure in POSCAR format:
```
ZnCd2O
1.0
-2.3603 5.7140 -1.7759
-5.6664 -1.5212 2.6367
-2.8670 3.6063 3.7650
Cd Zn O
4 2 2
direct
0.8750 0.8154 0.7500
0.3750 0.4346 0.7500
0.5654 0.1250 0.2500
0.1846 0.6250 0.2500
0.0000 0.0000 0.0000
0.7500 0.2500 0.5000
0.2500 0.7500 0.5000
0.5000 0.5000 0.0000
```


(4)
# Zn2CdO3

Crystalline Zn2CdO3 at its relaxed geometry (GGA-PBE, the Alexandria database).

Output
excess energy over the best structure of this formula in the dataset = 0.000 eV/atom

The structure in POSCAR format:
```
Zn2CdO3
1.0
5.8174 -0.0178 -0.9658
-3.1693 4.8783 -0.9658
0.0235 0.0431 5.8227
O Zn Cd
6 4 2
direct
0.4168 0.8837 0.3751
0.0553 0.2516 0.4040
0.2516 0.0553 0.9040
0.5285 0.6909 0.8727
0.8837 0.4168 0.8751
0.6909 0.5285 0.3727
0.4287 0.5936 0.5079
0.7568 0.2677 0.5090
0.2677 0.7568 0.0090
0.5936 0.4287 0.0079
0.9232 0.0981 0.0026
0.0981 0.9232 0.5026
```


(5)
# ZnCd3O4

Crystalline ZnCd3O4 at its relaxed geometry (GGA-PBE, the Alexandria database).

The structure in POSCAR format:
```
ZnCd3O4
1.0
-4.0588 0.5523 2.8986
-2.6498 -2.8512 -3.1671
1.2984 -4.0923 2.5978
O Cd Zn
4 3 1
direct
0.2320 0.2320 0.2320
0.7680 0.7680 0.2320
0.2320 0.7680 0.7680
0.7680 0.2320 0.7680
0.0000 0.5000 0.5000
0.5000 0.5000 0.0000
0.5000 0.0000 0.5000
0.0000 0.0000 0.0000
```


(6)
# ZrCdO2

Crystalline ZrCdO2 at its relaxed geometry (GGA-PBE, the Alexandria database).

The structure in POSCAR format:
```
ZrCdO2
1.0
8.1226 1.8512 1.8557
8.4795 -0.9507 0.2046
8.2046 1.8789 -1.4149
Zr Cd O
1 1 2
direct
0.5000 0.5000 0.5000
0.0000 0.0000 0.0000
0.8733 0.8733 0.8733
0.1267 0.1267 0.1267
```


Number 1: ΔE_f (raw) 808 meV/atom. Number 2: ΔE_f (raw) -1153 meV/atom. Number 3: ΔE_f (raw) -289 meV/atom. Number 4: ΔE_f (raw) -1273 meV/atom. Number 5: ΔE_f (raw) -1094 meV/atom. Number 6: ΔE_f (raw) -2252 meV/atom.